DFT (PBE with a Hubbard U) results for an optimized crystal structure of VHgOF2.

Excess energy over the best structure of this formula in the dataset ... 0 meV/atom
SG ... P4/mmm (123)
Calculated total energy ... -4.972 eV per atom

The structure in POSCAR format:
```
VHgOF2
1.0
-2.2521 -1.5880 3.1996
3.1303 -2.6995 0.8635
1.5557 2.5608 2.3660
Hg V O F
1 1 1 2
direct
0.5000 0.5000 0.5000 Hg
0.0000 0.0000 0.0000 V
0.0000 0.0000 0.5000 O
0.5000 0.0000 0.0000 F
0.0000 0.5000 0.0000 F
```